PBE-GGA MgNi2, relaxed; crystal system = hexagonal; DFT formation energy = -219.9 meV/atom; space-group type = P6_3/mmc
1.0
4.8203 0.0000 0.0000
-2.4102 4.1745 0.0000
0.0000 0.0000 15.7432
Ni Mg
16 8
direct
0.3333 0.6667 0.3750
0.6667 0.3333 0.6250
0.6667 0.3333 0.8750
0.3333 0.6667 0.1250
0.5000 0.5000 0.5000
0.5000 0.0000 0.5000
0.0000 0.5000 0.5000
0.5000 0.5000 0.0000
0.5000 0.0000 0.0000
0.0000 0.5000 0.0000
0.1645 0.8355 0.2500
0.1645 0.3290 0.2500
0.6710 0.8355 0.2500
0.8355 0.1645 0.7500
0.8355 0.6710 0.7500
0.3290 0.1645 0.7500
0.0000 0.0000 0.4070
0.0000 0.0000 0.5930
0.0000 0.0000 0.9070
0.0000 0.0000 0.0930
0.3333 0.6667 0.6560
0.6667 0.3333 0.3440
0.6667 0.3333 0.1560
0.3333 0.6667 0.8440

---

PBE-GGA HfVCd2, relaxed; crystal system = tetragonal; DFT formation energy = 627.1 meV/atom; space-group type = I-42d
1.0
7.7922 0.0000 0.0000
0.0000 7.7922 0.0000
3.8961 3.8961 2.7368
Cd Hf V
4 2 2
direct
0.5999 0.1250 0.2500
0.1501 0.6250 0.2500
0.3750 0.4001 0.7500
0.8750 0.8499 0.7500
0.0000 0.0000 0.0000
0.7500 0.2500 0.5000
0.5000 0.5000 0.0000
0.2500 0.7500 0.5000

---

PBE-GGA In2Ge2Se, relaxed; crystal system = tetragonal; space-group type = I4/mmm; uncorrected formation energy = 39 meV/atom
1.0
-3.4931 -0.3085 -1.5041
-0.2406 -3.5817 1.2933
-5.1008 0.7821 6.8457
Ge Se In
2 1 2
direct
0.7500 0.2500 0.5000
0.2500 0.7500 0.5000
0.0000 0.0000 0.0000
0.4032 0.4032 0.1936
0.5968 0.5968 0.8064

---

PBE-GGA SiAs3Rh, relaxed; crystal system = cubic; space-group type = Pm-3m; uncorrected formation energy = 845 meV/atom
1.0
-3.8586 2.2602 1.2012
-2.5582 -3.4774 -1.6745
0.0848 -2.0590 4.1466
As Rh Si
3 1 1
direct
0.0000 0.5000 0.0000
0.0000 0.0000 0.5000
0.5000 0.0000 0.0000
0.5000 0.5000 0.5000
0.0000 0.0000 0.0000

---

PBE-GGA Cu3ReNi, relaxed; crystal system = cubic; DFT formation energy = 1453.0 meV/atom; space-group type = Pm-3m
1.0
-2.0570 2.6784 2.6082
-3.3146 0.0703 -2.6863
-1.7291 -3.3210 2.0466
Re Cu Ni
1 3 1
direct
0.5000 0.5000 0.5000
0.0000 0.5000 0.0000
0.0000 0.0000 0.5000
0.5000 0.0000 0.0000
0.0000 0.0000 0.0000

---

PBE-GGA BaTlMo3, relaxed; crystal system = cubic; DFT formation energy = 2261.4 meV/atom; space-group type = Pm-3m
1.0
-2.0955 -1.4803 -4.5115
2.8371 -4.3446 0.1078
-3.8073 -2.4227 2.5634
Mo Tl Ba
3 1 1
direct
0.0000 0.5000 0.0000
0.0000 0.0000 0.5000
0.5000 0.0000 0.0000
0.0000 0.0000 0.0000
0.5000 0.5000 0.5000

---

PBE-GGA Cs2Ga3Au2, relaxed; crystal system = monoclinic; DFT formation energy = -228.5 meV/atom; space-group type = C2/m
1.0
-2.7594 0.0927 3.5238
1.2522 -6.0303 3.9828
3.8743 1.7208 5.8321
Cs Ga Au
2 3 2
direct
0.1373 0.4918 0.2337
0.8627 0.5082 0.7663
0.5000 0.0000 0.0000
0.3388 0.8940 0.4284
0.6612 0.1060 0.5716
0.1186 0.9736 0.7892
0.8814 0.0264 0.2108

---

PBE-GGA ZnInCl, relaxed; crystal system = cubic; space-group type = F-43m; uncorrected formation energy = -237 meV/atom
1.0
5.0845 0.0000 0.0000
2.5422 4.4033 0.0000
2.5422 1.4678 4.1515
Cl In Zn
1 1 1
direct
0.5000 0.5000 0.5000
0.7500 0.7500 0.7500
0.0000 0.0000 0.0000

---

| no. | calculated volume (Å³/atom) | Fermi-level density of states (states/eV per atom) |
| --- | --- | --- |
| 1 | 13.20 | 1.1939 |
| 2 | 20.77 | 1.0102 |
| 3 | 23.69 | 0.4096 |
| 4 | 19.86 | 0.4496 |
| 5 | 15.54 | 0.9480 |
| 6 | 27.96 | 2.2885 |
| 7 | 29.52 | 0.3596 |
| 8 | 30.98 | 0.0695 |